! Mo3PCN | the Open Quantum Materials Database | PBE-GGA | relaxed; values from VASP
&SYSTEM
  ibrav = 0, nat = 12, ntyp = 4
/
ATOMIC_SPECIES
C 12.01 C.upf
Mo 95.94 Mo.upf
N 14.01 N.upf
P 30.97 P.upf
CELL_PARAMETERS angstrom
3.064 0.000 0.000
-1.532 2.654 0.000
0.000 0.000 17.338
ATOMIC_POSITIONS crystal
C 0.333 0.667 0.075
C 0.667 0.333 0.925
Mo 0.000 0.000 0.000
Mo 0.667 0.333 0.143
Mo 0.667 0.333 0.347
Mo 0.000 0.000 0.500
Mo 0.333 0.667 0.653
Mo 0.333 0.667 0.857
N 0.333 0.667 0.424
N 0.667 0.333 0.576
P 0.000 0.000 0.249
P 0.000 0.000 0.751
! - VASP energy (eV per cell) = -111.78



! Mo3CSN | the Open Quantum Materials Database | PBE-GGA | relaxed; values from VASP
&SYSTEM
  ibrav = 0, nat = 12, ntyp = 4
/
ATOMIC_SPECIES
C 12.01 C.upf
Mo 95.94 Mo.upf
N 14.01 N.upf
S 32.06 S.upf
CELL_PARAMETERS angstrom
-2.464 1.420 1.361
0.046 -3.139 -0.292
7.481 -1.272 14.875
ATOMIC_POSITIONS crystal
C 0.667 0.333 0.423
C 0.333 0.667 0.577
Mo 0.000 0.000 0.000
Mo 0.333 0.667 0.139
Mo 0.333 0.667 0.359
Mo 0.000 0.000 0.500
Mo 0.667 0.333 0.641
Mo 0.667 0.333 0.861
N 0.667 0.333 0.069
N 0.333 0.667 0.931
S 0.000 0.000 0.243
S 0.000 0.000 0.757
! - VASP energy (eV per cell) = -108.63



! Mo4CS2N | the Open Quantum Materials Database | PBE-GGA | relaxed; values from VASP
&SYSTEM
  ibrav = 0, nat = 8, ntyp = 4
/
ATOMIC_SPECIES
C 12.01 C.upf
Mo 95.94 Mo.upf
N 14.01 N.upf
S 32.06 S.upf
CELL_PARAMETERS angstrom
-0.787 2.998 -0.060
-0.811 -1.863 -2.342
-10.403 -2.619 5.683
ATOMIC_POSITIONS crystal
C 0.000 0.000 0.000
Mo 0.333 0.667 0.094
Mo 0.333 0.667 0.392
Mo 0.667 0.333 0.608
Mo 0.667 0.333 0.906
N 0.000 0.000 0.500
S 0.667 0.333 0.253
S 0.333 0.667 0.747
! - VASP energy (eV per cell) = -69.80



! Mo8C3S2N3 | the Open Quantum Materials Database | PBE-GGA | relaxed; values from VASP
&SYSTEM
  ibrav = 0, nat = 16, ntyp = 4
/
ATOMIC_SPECIES
C 12.01 C.upf
Mo 95.94 Mo.upf
N 14.01 N.upf
S 32.06 S.upf
CELL_PARAMETERS angstrom
-2.070 -1.282 1.997
2.530 -1.638 -0.912
11.251 8.026 16.810
ATOMIC_POSITIONS crystal
C 0.000 0.000 0.000
C 0.667 0.333 0.119
C 0.333 0.667 0.881
Mo 0.333 0.667 0.060
Mo 0.000 0.000 0.162
Mo 0.000 0.000 0.334
Mo 0.333 0.667 0.451
Mo 0.667 0.333 0.549
Mo 0.000 0.000 0.666
Mo 0.000 0.000 0.838
Mo 0.667 0.333 0.940
N 0.667 0.333 0.393
N 0.000 0.000 0.500
N 0.333 0.667 0.607
S 0.333 0.667 0.257
S 0.667 0.333 0.743
! - VASP energy (eV per cell) = -147.69